Record 1
## AcLaPm2Se4 (PBE)

Data for an optimized crystal structure of AcLaPm2Se4.

Output
Formation energy from raw total energies (meV per atom): -1878
Spin magnetization (μB per cell): 0.0
Energy (eV per atom): -5.9378

The structure in CIF format:
```
data_AcLaPm2Se4
_chemical_formula_sum 'Ac1 La1 Pm2 Se4'
_cell_length_a 7.4574
_cell_length_b 4.2577
_cell_length_c 7.4637
_cell_angle_alpha 90.00
_cell_angle_beta 109.10
_cell_angle_gamma 90.00
_symmetry_space_group_name_H-M 'P 1 2/m 1'
_symmetry_Int_Tables_number 10
_symmetry_space_group_name_Hall '-P 2y'
loop_
_atom_site_label
_atom_site_type_symbol
_atom_site_fract_x
_atom_site_fract_y
_atom_site_fract_z
Ac1 Ac 0.0000 0.0000 0.0000
La1 La 0.5000 0.5000 0.0000
Pm1 Pm 0.0000 0.5000 0.5000
Pm2 Pm 0.5000 0.0000 0.5000
Se1 Se 0.2503 0.0000 0.7389
Se2 Se 0.2591 0.5000 0.2646
```


Record 2
## Ac4LaPm3Se8 (PBE)

Data for an optimized crystal structure of Ac4LaPm3Se8.

Output
Formation energy from raw total energies (meV per atom): -1862
Spin magnetization (μB per cell): 0.0
Energy (eV per atom): -5.8305

The structure in CIF format:
```
data_Ac4LaPm3Se8
_chemical_formula_sum 'Ac12 La3 Pm9 Se24'
_cell_length_a 8.6728
_cell_length_b 8.6728
_cell_length_c 21.3964
_cell_angle_alpha 90.00
_cell_angle_beta 90.00
_cell_angle_gamma 120.00
_symmetry_space_group_name_H-M 'R -3 m'
_symmetry_Int_Tables_number 166
_symmetry_space_group_name_Hall '-R 3 2"'
loop_
_atom_site_label
_atom_site_type_symbol
_atom_site_fract_x
_atom_site_fract_y
_atom_site_fract_z
Ac1 Ac 0.0000 0.0000 0.0000
Ac2 Ac 0.0000 0.5000 0.0000
La1 La 0.0000 0.0000 0.5000
Pm1 Pm 0.0000 0.5000 0.5000
Se1 Se 0.0000 0.0000 0.2441
Se2 Se 0.0036 0.5018 0.7552
```


Record 3
## Ac3LaPm2Se6 (PBE)

Data for an optimized crystal structure of Ac3LaPm2Se6.

Output
Formation energy from raw total energies (meV per atom): -1875
Spin magnetization (μB per cell): 0.0
Energy (eV per atom): -5.8465

The structure in CIF format:
```
data_Ac3LaPm2Se6
_chemical_formula_sum 'Ac6 La2 Pm4 Se12'
_cell_length_a 7.5052
_cell_length_b 13.0382
_cell_length_c 7.5678
_cell_angle_alpha 90.00
_cell_angle_beta 109.43
_cell_angle_gamma 90.00
_symmetry_space_group_name_H-M 'C 1 2/m 1'
_symmetry_Int_Tables_number 12
_symmetry_space_group_name_Hall '-C 2y'
loop_
_atom_site_label
_atom_site_type_symbol
_atom_site_fract_x
_atom_site_fract_y
_atom_site_fract_z
Ac1 Ac 0.0000 0.0000 0.0000
Ac2 Ac 0.0000 0.3349 0.0000
La1 La 0.0000 0.5000 0.5000
Pm1 Pm 0.0000 0.1672 0.5000
Se1 Se 0.2396 0.0000 0.7331
Se2 Se 0.2474 0.3312 0.7356
```


Record 4
## Ac2LaPm3Se6 (PBE)

Data for an optimized crystal structure of Ac2LaPm3Se6.

Output
Formation energy from raw total energies (meV per atom): -1870
Spin magnetization (μB per cell): 0.0
Energy (eV per atom): -5.8952

The structure in CIF format:
```
data_Ac2LaPm3Se6
_chemical_formula_sum 'Ac4 La2 Pm6 Se12'
_cell_length_a 7.4316
_cell_length_b 12.9135
_cell_length_c 7.4839
_cell_angle_alpha 90.00
_cell_angle_beta 109.44
_cell_angle_gamma 90.00
_symmetry_space_group_name_H-M 'C 1 2/m 1'
_symmetry_Int_Tables_number 12
_symmetry_space_group_name_Hall '-C 2y'
loop_
_atom_site_label
_atom_site_type_symbol
_atom_site_fract_x
_atom_site_fract_y
_atom_site_fract_z
Ac1 Ac 0.0000 0.1663 0.0000
La1 La 0.0000 0.5000 0.0000
Pm1 Pm 0.0000 0.0000 0.5000
Pm2 Pm 0.0000 0.3311 0.5000
Se1 Se 0.2394 0.5000 0.7339
Se2 Se 0.2479 0.1644 0.7364
```


Q: The highest formation energy from raw total energies belongs to which entry?
A: Ac4LaPm3Se8


Q: Which value of spin magnetization does entry 3 give?
A: 0.0 μB per cell


Q: What is the energy in the first record?
A: -5.9378 eV per atom